Density functional theory data (PBE-GGA) for crystalline CsGa3 at its relaxed geometry.

The value obtained for the total energy is -2.54 eV per atom.

```
data_CsGa3
_chemical_formula_sum 'Cs2 Ga6'
_symmetry_space_group_name_H-M 'P 1'
_symmetry_Int_Tables_number 1
_cell_length_a 4.748
_cell_length_b 7.098
_cell_length_c 7.472
_cell_angle_alpha 90.00
_cell_angle_beta 90.00
_cell_angle_gamma 90.00
loop_
_symmetry_equiv_pos_as_xyz
'x,y,z'
loop_
_atom_site_label
_atom_site_type_symbol
_atom_site_fract_x
_atom_site_fract_y
_atom_site_fract_z
Cs1 Cs 0.250 0.250 0.108
Cs2 Cs 0.750 0.750 0.892
Ga1 Ga 0.250 0.056 0.602
Ga2 Ga 0.250 0.444 0.602
Ga3 Ga 0.250 0.750 0.373
Ga4 Ga 0.750 0.250 0.627
Ga5 Ga 0.750 0.556 0.398
Ga6 Ga 0.750 0.944 0.398
```